P.
A relaxed structure of Er4AlZn2, computed with GGA-PBE.

crystal system: trigonal

a = 8.516 Å, b = 8.516 Å, c = 8.516 Å
α = 33.89°, β = 33.89°, γ = 33.89°
Atoms (fractional coordinates):
Er 0.119 0.119 0.119
Er 0.371 0.371 0.371
Er 0.629 0.629 0.629
Er 0.881 0.881 0.881
Al 0.500 0.500 0.500
Zn 0.246 0.246 0.246
Zn 0.754 0.754 0.754

Q.
A relaxed structure of Er4AlZn2, computed with GGA-PBE.

crystal system: tetragonal

a = 7.676 Å, b = 7.676 Å, c = 7.676 Å
α = 108.93°, β = 108.93°, γ = 110.56°
Atoms (fractional coordinates):
Er 0.125 0.729 0.746
Er 0.128 0.232 0.754
Er 0.271 0.018 0.396
Er 0.479 0.375 0.246
Er 0.622 0.875 0.604
Er 0.625 0.872 0.104
Er 0.768 0.521 0.896
Er 0.982 0.378 0.254
Al 0.000 0.000 0.000
Al 0.750 0.250 0.500
Zn 0.249 0.625 0.124
Zn 0.375 0.499 0.624
Zn 0.501 0.125 0.876
Zn 0.875 0.751 0.376

Most stable of them? P.

P.
A relaxed structure of Er4AlZn, computed with GGA-PBE.

crystal system: tetragonal

a = 3.503 Å, b = 3.503 Å, c = 12.512 Å
α = 90.00°, β = 90.00°, γ = 90.00°
Atoms (fractional coordinates):
Er 0.000 0.000 0.141
Er 0.000 0.000 0.859
Er 0.500 0.500 0.348
Er 0.500 0.500 0.652
Al 0.000 0.000 0.500
Zn 0.500 0.500 0.000

Q.
A relaxed structure of Er4AlZn, computed with GGA-PBE.

crystal system: tetragonal

a = 4.926 Å, b = 4.926 Å, c = 7.085 Å
α = 90.00°, β = 90.00°, γ = 90.00°
Atoms (fractional coordinates):
Er 0.000 0.500 0.243
Er 0.000 0.500 0.757
Er 0.500 0.000 0.243
Er 0.500 0.000 0.757
Al 0.000 0.000 0.500
Zn 0.500 0.500 0.000

Most stable of them? P.

P.
A relaxed structure of Er6AlZn2, computed with GGA-PBE.

crystal system: tetragonal

a = 11.098 Å, b = 11.098 Å, c = 11.098 Å
α = 154.38°, β = 154.38°, γ = 36.54°
Atoms (fractional coordinates):
Er 0.086 0.586 0.500
Er 0.250 0.750 0.500
Er 0.414 0.914 0.500
Er 0.586 0.086 0.500
Er 0.750 0.250 0.500
Er 0.914 0.414 0.500
Al 0.000 0.000 0.000
Zn 0.332 0.332 0.000
Zn 0.668 0.668 0.000

Q.
A relaxed structure of Er6AlZn2, computed with GGA-PBE.

crystal system: orthorhombic

a = 8.444 Å, b = 8.444 Å, c = 8.444 Å
α = 110.97°, β = 109.16°, γ = 108.29°
Atoms (fractional coordinates):
Er 0.040 0.820 0.220
Er 0.245 0.543 0.298
Er 0.245 0.946 0.702
Er 0.267 0.320 0.586
Er 0.267 0.680 0.947
Er 0.400 0.180 0.220
Er 0.600 0.820 0.780
Er 0.733 0.320 0.053
Er 0.733 0.680 0.414
Er 0.755 0.054 0.298
Er 0.755 0.457 0.702
Er 0.960 0.180 0.780
Al 0.000 0.500 0.500
Al 0.500 0.000 0.500
Zn 0.000 0.137 0.137
Zn 0.000 0.863 0.863
Zn 0.373 0.373 0.000
Zn 0.627 0.627 0.000

Most stable of them? Q.